HoScCo: relaxed, GGA-PBE.

Geometry as CIF:
```
data_HoScCo
_cell_length_a 3.244
_cell_length_b 3.244
_cell_length_c 12.016
_cell_angle_alpha 90.00
_cell_angle_beta 90.00
_cell_angle_gamma 90.00
_symmetry_space_group_name_H-M 'I 4 m m'
_symmetry_Int_Tables_number 107
_symmetry_space_group_name_Hall 'I 4 -2'
loop_
_atom_site_label
_atom_site_fract_x
_atom_site_fract_y
_atom_site_fract_z
Ho1 0.000 0.000 0.000
Sc1 0.000 0.000 0.261
Co1 0.000 0.000 0.642
```

Computed properties:
E = -18.5 eV/f.u.
ρ = 7059 kg/m³
crystal system = tetragonal
size of the total moment = 1.40 Bohr magnetons per cell
density of states at the Fermi level = 3.879 states/eV per cell



Ho2ScCo: relaxed, GGA-PBE.

Geometry as CIF:
```
data_Ho2ScCo
_cell_length_a 3.371
_cell_length_b 3.371
_cell_length_c 8.292
_cell_angle_alpha 90.00
_cell_angle_beta 90.00
_cell_angle_gamma 90.00
_symmetry_space_group_name_H-M 'P 4/m m m'
_symmetry_Int_Tables_number 123
_symmetry_space_group_name_Hall '-P 4 2'
loop_
_atom_site_label
_atom_site_fract_x
_atom_site_fract_y
_atom_site_fract_z
Ho1 0.000 0.000 0.195
Sc1 0.500 0.500 0.500
Co1 0.500 0.500 0.000
```

Computed properties:
E = -22.8 eV/f.u.
ρ = 7644 kg/m³
crystal system = tetragonal
size of the total moment = 1.77 Bohr magnetons per cell
density of states at the Fermi level = 4.353 states/eV per cell



Ho2ScCo: relaxed, GGA-PBE.

Geometry as CIF:
```
data_Ho2ScCo
_cell_length_a 3.603
_cell_length_b 11.603
_cell_length_c 8.993
_cell_angle_alpha 90.00
_cell_angle_beta 90.00
_cell_angle_gamma 90.00
_symmetry_space_group_name_H-M 'C m c m'
_symmetry_Int_Tables_number 63
_symmetry_space_group_name_Hall '-C 2c 2'
loop_
_atom_site_label
_atom_site_fract_x
_atom_site_fract_y
_atom_site_fract_z
Ho1 0.000 0.138 0.069
Sc1 0.000 0.416 0.250
Co1 0.000 0.241 0.750
```

Computed properties:
E = -23.2 eV/f.u.
ρ = 7663 kg/m³
crystal system = orthorhombic
size of the total moment = 0.00 Bohr magnetons per cell
density of states at the Fermi level = 17.165 states/eV per cell



HoSc5Co4: relaxed, GGA-PBE.

Geometry as CIF:
```
data_HoSc5Co4
_cell_length_a 3.143
_cell_length_b 3.143
_cell_length_c 17.876
_cell_angle_alpha 90.00
_cell_angle_beta 90.00
_cell_angle_gamma 90.00
_symmetry_space_group_name_H-M 'P 4/m m m'
_symmetry_Int_Tables_number 123
_symmetry_space_group_name_Hall '-P 4 2'
loop_
_atom_site_label
_atom_site_fract_x
_atom_site_fract_y
_atom_site_fract_z
Ho1 0.000 0.000 0.000
Sc1 0.500 0.500 0.154
Sc2 0.500 0.500 0.326
Sc3 0.500 0.500 0.500
Co1 0.000 0.000 0.236
Co2 0.000 0.000 0.413
```

Computed properties:
E = -67.4 eV/f.u.
ρ = 5881 kg/m³
crystal system = tetragonal
size of the total moment = 1.10 Bohr magnetons per cell
density of states at the Fermi level = 4.811 states/eV per cell



Ho3ScCo8: relaxed, GGA-PBE.

Geometry as CIF:
```
data_Ho3ScCo8
_cell_length_a 5.0072
_cell_length_b 5.0072
_cell_length_c 24.5711
_cell_angle_alpha 90.00
_cell_angle_beta 90.00
_cell_angle_gamma 120.00
_symmetry_space_group_name_H-M 'R 3 m'
_symmetry_Int_Tables_number 160
_symmetry_space_group_name_Hall 'R 3 -2"'
loop_
_atom_site_label
_atom_site_fract_x
_atom_site_fract_y
_atom_site_fract_z
Ho1 0.0000 0.0000 0.0000
Ho2 0.0000 0.0000 0.1261
Ho3 0.0000 0.0000 0.5029
Sc1 0.0000 0.0000 0.6267
Co1 0.0000 0.0000 0.3134
Co2 0.0000 0.0000 0.8139
Co3 0.0014 0.5007 0.5652
Co4 0.1679 0.3358 0.3958
```

Computed properties:
E = -79.9 eV/f.u.
ρ = 9442 kg/m³
crystal system = trigonal
size of the total moment = 22.42 Bohr magnetons per cell
density of states at the Fermi level = 44.941 states/eV per cell



HoScCo: relaxed, GGA-PBE.

Geometry as CIF:
```
data_HoScCo
_cell_length_a 12.859
_cell_length_b 3.744
_cell_length_c 5.586
_cell_angle_alpha 90.00
_cell_angle_beta 100.58
_cell_angle_gamma 90.00
_symmetry_space_group_name_H-M 'C 1 2/m 1'
_symmetry_Int_Tables_number 12
_symmetry_space_group_name_Hall '-C 2y'
loop_
_atom_site_label
_atom_site_fract_x
_atom_site_fract_y
_atom_site_fract_z
Ho1 0.150 0.000 0.326
Sc1 0.090 0.500 0.799
Co1 0.229 0.000 0.858
```

Computed properties:
E = -18.5 eV/f.u.
ρ = 6753 kg/m³
crystal system = monoclinic
size of the total moment = 0.00 Bohr magnetons per cell
density of states at the Fermi level = 14.812 states/eV per cell



Ho4Sc3Co2: relaxed, GGA-PBE.

Geometry as CIF:
```
data_Ho4Sc3Co2
_cell_length_a 15.839
_cell_length_b 3.488
_cell_length_c 8.468
_cell_angle_alpha 90.00
_cell_angle_beta 113.19
_cell_angle_gamma 90.00
_symmetry_space_group_name_H-M 'C 1 2/m 1'
_symmetry_Int_Tables_number 12
_symmetry_space_group_name_Hall '-C 2y'
loop_
_atom_site_label
_atom_site_fract_x
_atom_site_fract_y
_atom_site_fract_z
Ho1 0.125 0.000 0.388
Ho2 0.230 0.500 0.155
Sc1 0.000 0.500 0.000
Sc2 0.070 0.500 0.693
Co1 0.113 0.000 0.932
```

Computed properties:
E = -52.8 eV/f.u.
ρ = 7046 kg/m³
crystal system = monoclinic
size of the total moment = 0.00 Bohr magnetons per cell
density of states at the Fermi level = 17.918 states/eV per cell



Ho2ScCo: relaxed, GGA-PBE.

Geometry as CIF:
```
data_Ho2ScCo
_cell_length_a 6.766
_cell_length_b 9.108
_cell_length_c 6.082
_cell_angle_alpha 90.00
_cell_angle_beta 90.00
_cell_angle_gamma 90.00
_symmetry_space_group_name_H-M 'P n m a'
_symmetry_Int_Tables_number 62
_symmetry_space_group_name_Hall '-P 2ac 2n'
loop_
_atom_site_label
_atom_site_fract_x
_atom_site_fract_y
_atom_site_fract_z
Ho1 0.181 0.065 0.178
Sc1 0.045 0.250 0.642
Co1 0.113 0.750 0.977
```

Computed properties:
E = -23.3 eV/f.u.
ρ = 7687 kg/m³
crystal system = orthorhombic
size of the total moment = 0.00 Bohr magnetons per cell
density of states at the Fermi level = 17.308 states/eV per cell



HoSc4Co: relaxed, GGA-PBE.

Geometry as CIF:
```
data_HoSc4Co
_cell_length_a 5.580
_cell_length_b 6.004
_cell_length_c 9.001
_cell_angle_alpha 70.56
_cell_angle_beta 82.71
_cell_angle_gamma 89.99
_symmetry_space_group_name_H-M 'P -1'
_symmetry_Int_Tables_number 2
_symmetry_space_group_name_Hall '-P 1'
loop_
_atom_site_label
_atom_site_fract_x
_atom_site_fract_y
_atom_site_fract_z
Ho1 0.250 0.171 0.000
Sc1 0.168 0.934 0.380
Sc2 0.215 0.529 0.221
Sc3 0.285 0.750 0.779
Sc4 0.332 0.314 0.620
Co1 0.000 0.500 0.500
Co2 0.500 0.000 0.500
```

Computed properties:
E = -37.1 eV/f.u.
ρ = 4758 kg/m³
crystal system = triclinic
size of the total moment = 0.00 Bohr magnetons per cell
density of states at the Fermi level = 19.396 states/eV per cell



Ho3ScCo: relaxed, GGA-PBE.

Geometry as CIF:
```
data_Ho3ScCo
_cell_length_a 5.187
_cell_length_b 5.187
_cell_length_c 5.187
_cell_angle_alpha 90.00
_cell_angle_beta 90.00
_cell_angle_gamma 90.00
_symmetry_space_group_name_H-M 'P m -3 m'
_symmetry_Int_Tables_number 221
_symmetry_space_group_name_Hall '-P 4 2 3'
loop_
_atom_site_label
_atom_site_fract_x
_atom_site_fract_y
_atom_site_fract_z
Ho1 0.000 0.000 0.500
Sc1 0.500 0.500 0.500
Co1 0.000 0.000 0.000
```

Computed properties:
E = -26.9 eV/f.u.
ρ = 7124 kg/m³
crystal system = cubic
size of the total moment = 0.87 Bohr magnetons per cell
density of states at the Fermi level = 8.445 states/eV per cell



HoScCo: relaxed, GGA-PBE.

Geometry as CIF:
```
data_HoScCo
_cell_length_a 6.396
_cell_length_b 6.396
_cell_length_c 6.396
_cell_angle_alpha 90.00
_cell_angle_beta 90.00
_cell_angle_gamma 90.00
_symmetry_space_group_name_H-M 'F -4 3 m'
_symmetry_Int_Tables_number 216
_symmetry_space_group_name_Hall 'F -4 2 3'
loop_
_atom_site_label
_atom_site_fract_x
_atom_site_fract_y
_atom_site_fract_z
Ho1 0.000 0.000 0.000
Sc1 0.000 0.000 0.500
Co1 0.250 0.250 0.250
```

Computed properties:
E = -18.3 eV/f.u.
ρ = 6824 kg/m³
crystal system = cubic
size of the total moment = 0.00 Bohr magnetons per cell
density of states at the Fermi level = 13.957 states/eV per cell



HoScCo: relaxed, GGA-PBE.

Geometry as CIF:
```
data_HoScCo
_cell_length_a 12.533
_cell_length_b 3.244
_cell_length_c 6.482
_cell_angle_alpha 90.00
_cell_angle_beta 105.79
_cell_angle_gamma 90.00
_symmetry_space_group_name_H-M 'C 1 2/m 1'
_symmetry_Int_Tables_number 12
_symmetry_space_group_name_Hall '-C 2y'
loop_
_atom_site_label
_atom_site_fract_x
_atom_site_fract_y
_atom_site_fract_z
Ho1 0.133 0.000 0.071
Sc1 0.126 0.000 0.563
Co1 0.003 0.500 0.735
```

Computed properties:
E = -18.5 eV/f.u.
ρ = 7040 kg/m³
crystal system = monoclinic
size of the total moment = 2.53 Bohr magnetons per cell
density of states at the Fermi level = 9.719 states/eV per cell